No. 1
Density functional theory data (PBEsol) for a relaxed structure of Al2AuBr.

Values from the calculation:
- Volume: 81.5 Å³ per cell
- Density of states at the Fermi level: 1.00 states/eV/f.u.
- Total magnetization: 0.00 μB/f.u.
- Energy relative to the elements, uncorrected: 7.82 kcal/mol of atoms
- Electronic total energy: -3.1550 eV per atom
- Distance to the lowest polymorph of the same formula: 0.5288 eV per atom

```
Al2AuBr
1.0
-2.2880 -4.2715 -0.4470
0.4060 -2.5582 -4.1196
2.5604 -4.1379 -0.0522
Br Au Al
1 1 2
Cartesian
0.1696 -2.7419 -1.1547 Br
0.3392 -5.4838 -2.3094 Au
0.5088 -8.2257 -3.4641 Al
0.0000 0.0000 0.0000 Al
```

No. 2
Density functional theory data (PBEsol) for a relaxed structure of CuPdO2.

Values from the calculation:
- Volume: 45.9 Å³ per cell
- Density of states at the Fermi level: 2.19 states/eV/f.u.
- Total magnetization: 0.00 μB/f.u.
- Energy relative to the elements, uncorrected: -12.32 kcal/mol of atoms
- Electronic total energy: -5.7321 eV per atom

```
CuPdO2
1.0
-2.5472 0.8018 -1.1723
0.9557 -0.9111 -2.6997
-1.9312 -4.7775 0.9287
O Cu Pd
2 1 1
Cartesian
-0.9544 -3.9989 -0.6611 O
-0.0210 -1.6898 -1.1099 O
-1.7613 -2.4434 -1.4717 Cu
0.0000 0.0000 0.0000 Pd
```

No. 3
Density functional theory data (PBEsol) for a relaxed structure of KSiIr2.

Values from the calculation:
- Volume: 188.8 Å³ per cell
- Density of states at the Fermi level: 3.50 states/eV/f.u.
- Total magnetization: 0.00 μB/f.u.
- Energy relative to the elements, uncorrected: 11.32 kcal/mol of atoms
- Electronic total energy: -6.1409 eV per atom

```
KSiIr2
1.0
-1.2109 3.2033 -3.4506
2.8749 -2.3185 -3.1612
-6.9577 -5.0883 1.1425
Ir Si K
4 2 2
Cartesian
0.0957 -1.5010 -4.4192 Ir
-4.4731 -4.1388 -0.5603 Ir
-1.4946 0.0629 -3.2744 Ir
-4.7155 -2.8300 -2.6848 Ir
0.8320 0.4424 -3.3059 Si
-3.6683 -0.7213 -2.8070 Si
0.0000 0.0000 0.0000 K
-1.6254 -3.4822 -2.6623 K
```

No. 4
Density functional theory data (PBEsol) for a relaxed structure of GdErRu2.

Values from the calculation:
- Volume: 74.4 Å³ per cell
- Density of states at the Fermi level: 3.40 states/eV/f.u.
- Total magnetization: 7.03 μB/f.u.
- Calculated formation energy: -0.264 eV/atom
- Electronic total energy: -10.1939 eV per atom

```
GdErRu2
1.0
4.7200 0.0000 0.0000
2.3600 4.0877 0.0000
2.3600 1.3626 3.8539
Gd Er Ru
1 1 2
Cartesian
0.0000 0.0000 0.0000 Gd
4.7200 2.7251 1.9269 Er
7.0800 4.0877 2.8904 Ru
2.3600 1.3626 0.9635 Ru
```

No. 5
Density functional theory data (PBEsol) for a relaxed structure of Sr2Hg.

Values from the calculation:
- Volume: 220.8 Å³ per cell
- Density of states at the Fermi level: 2.75 states/eV/f.u.
- Total magnetization: 0.00 μB/f.u.
- Calculated formation energy: -0.357 eV/atom
- Electronic total energy: -1.7726 eV per atom

```
Sr2Hg
1.0
3.9963 0.0000 0.0000
0.0000 5.8389 0.0000
-1.9981 0.0000 9.4635
Sr Hg
4 2
Cartesian
0.0000 4.3792 5.5325 Sr
1.9981 4.3792 1.3462 Sr
0.0000 1.4597 8.1172 Sr
1.9982 1.4597 3.9309 Sr
0.0000 1.4597 1.3579 Hg
1.9982 4.3792 8.1056 Hg
```

No. 6
Density functional theory data (PBEsol) for a relaxed structure of Ga2Pb2Au.

Values from the calculation:
- Volume: 225.6 Å³ per cell
- Density of states at the Fermi level: 2.07 states/eV/f.u.
- Total magnetization: 0.00 μB/f.u.
- Calculated formation energy: -0.049 eV/atom
- Electronic total energy: -3.7693 eV per atom

```
Ga2Pb2Au
1.0
-0.1415 5.0679 0.6679
-4.4678 -0.7646 4.8549
4.9113 -0.4493 4.4490
Au Pb Ga
2 4 4
Cartesian
0.2217 -0.6069 4.6519 Au
0.0000 0.0000 0.0000 Au
2.4633 2.0946 4.2040 Pb
-0.6458 2.2074 2.6896 Pb
0.9477 1.6466 7.2822 Pb
-2.1614 1.7594 5.7677 Pb
2.6173 -0.6672 5.6167 Ga
-2.1739 -0.5467 3.6872 Ga
1.1857 -0.2673 2.2794 Ga
-0.7423 -0.9465 7.0244 Ga
```

No. 7
Density functional theory data (PBEsol) for a relaxed structure of SbTe2Pt.

Values from the calculation:
- Volume: 104.5 Å³ per cell
- Density of states at the Fermi level: 1.64 states/eV/f.u.
- Total magnetization: 0.00 μB/f.u.
- Energy relative to the elements, uncorrected: -2.48 kcal/mol of atoms
- Electronic total energy: -4.7507 eV per atom

```
SbTe2Pt
1.0
3.8005 0.0000 0.0000
0.0000 4.8042 0.0000
-1.9003 -2.4021 5.7247
Te Sb Pt
2 1 1
Cartesian
0.0000 0.0000 1.9116 Te
1.9003 2.4021 3.8131 Te
0.0000 2.4021 0.0000 Sb
1.9003 0.0000 0.0000 Pt
```

No. 8
Density functional theory data (PBEsol) for a relaxed structure of ZrOsPb.

Values from the calculation:
- Volume: 57.7 Å³ per cell
- Density of states at the Fermi level: 2.21 states/eV/f.u.
- Total magnetization: 0.00 μB/f.u.
- Calculated formation energy: 0.147 eV/atom
- Electronic total energy: -8.2874 eV per atom
- Distance to the lowest polymorph of the same formula: 0.0000 eV per atom

```
ZrOsPb
1.0
-0.1098 1.6197 2.6442
-3.5200 -2.6335 1.4670
4.3668 -1.2362 0.9385
Zr Os Pb
1 1 1
Cartesian
-0.9248 -1.6707 2.1022 Zr
-0.0956 1.4112 2.3038 Os
1.6477 -0.3708 3.2879 Pb
```

No. 9
Density functional theory data (PBEsol) for a relaxed structure of K2HgAsCl6.

Values from the calculation:
- Volume: 283.5 Å³ per cell
- Density of states at the Fermi level: 2.39 states/eV/f.u.
- Total magnetization: 0.00 μB/f.u.
- Energy relative to the elements, uncorrected: -25.05 kcal/mol of atoms
- Electronic total energy: -3.0849 eV per atom

```
K2HgAsCl6
1.0
-4.0687 -1.1551 6.0405
-6.1184 -4.0962 -0.4035
-0.1726 -6.6857 3.1063
K As Cl Hg
2 1 6 1
Cartesian
-2.5899 -2.9843 2.1858 K
-7.7698 -8.9528 6.5575 K
0.0000 0.0000 0.0000 As
-2.5468 -6.3456 3.7062 Cl
-4.5956 -3.4374 5.2492 Cl
-7.8130 -5.5914 5.0370 Cl
-4.6863 -6.9531 6.8826 Cl
-5.7642 -8.4996 3.4940 Cl
-5.6734 -4.9840 1.8606 Cl
-5.1799 -5.9685 4.3716 Hg
```

No. 10
Density functional theory data (PBEsol) for a relaxed structure of MnBeTl2.

Values from the calculation:
- Volume: 75.6 Å³ per cell
- Density of states at the Fermi level: 1.98 states/eV/f.u.
- Total magnetization: 3.34 μB/f.u.
- Calculated formation energy: 0.457 eV/atom
- Electronic total energy: -4.2986 eV per atom
- Distance to the lowest polymorph of the same formula: 0.0000 eV per atom

```
MnBeTl2
1.0
-1.3385 -2.3723 1.4163
1.9222 -1.9300 -1.4161
5.1876 0.7040 6.0821
Mn Tl Be
1 2 1
Cartesian
3.8548 -1.6676 4.1773 Mn
1.8656 -1.9376 1.8452 Tl
4.8963 0.6645 5.7405 Tl
2.9361 0.3984 3.4423 Be
```

No. 11
Density functional theory data (PBEsol) for a relaxed structure of AgSb.

Values from the calculation:
- Volume: 43.2 Å³ per cell
- Density of states at the Fermi level: 0.82 states/eV/f.u.
- Total magnetization: 0.00 μB/f.u.
- Energy relative to the elements, uncorrected: 3.64 kcal/mol of atoms
- Electronic total energy: -3.7763 eV per atom
- Distance to the lowest polymorph of the same formula: 0.1035 eV per atom

```
AgSb
1.0
-1.4089 -0.3064 -2.6805
-0.3175 -3.7092 0.5909
-3.3260 0.5532 1.6850
Sb Ag
1 1
Cartesian
0.0000 0.0000 0.0000 Sb
-2.5262 -1.7312 -0.2023 Ag
```

No. 12
Density functional theory data (PBEsol) for a relaxed structure of BeSiTcAg2.

Values from the calculation:
- Volume: 109.8 Å³ per cell
- Density of states at the Fermi level: 4.98 states/eV/f.u.
- Total magnetization: 0.46 μB/f.u.
- Energy relative to the elements, uncorrected: 35.81 kcal/mol of atoms
- Electronic total energy: -3.9743 eV per atom

```
BeSiTcAg2
1.0
4.4224 0.0000 0.0000
0.0000 4.9819 0.0000
0.0000 0.0000 4.9819
Si Ag Be Tc
1 2 1 1
Cartesian
2.2112 0.0000 0.0000 Si
0.0000 2.4909 0.0000 Ag
0.0000 0.0000 2.4909 Ag
2.2112 2.4909 2.4909 Be
0.0000 0.0000 0.0000 Tc
```

No. 13
Density functional theory data (PBEsol) for a relaxed structure of CdSb2Te2.

Values from the calculation:
- Volume: 288.2 Å³ per cell
- Density of states at the Fermi level: 2.18 states/eV/f.u.
- Total magnetization: 0.00 μB/f.u.
- Energy relative to the elements, uncorrected: 1.65 kcal/mol of atoms
- Electronic total energy: -3.4014 eV per atom
- Distance to the lowest polymorph of the same formula: 0.0000 eV per atom

```
CdSb2Te2
1.0
4.1788 0.0000 0.0000
0.0000 8.3041 0.0000
0.0000 0.0000 8.3041
Te Cd Sb
4 2 4
Cartesian
2.0894 2.9164 1.2357 Te
2.0894 1.2357 5.3877 Te
2.0894 5.3877 7.0685 Te
2.0894 7.0685 2.9164 Te
0.0000 0.0000 0.0000 Cd
0.0000 4.1521 4.1521 Cd
0.0000 2.6855 6.8376 Sb
0.0000 1.4665 2.6855 Sb
0.0000 6.8376 5.6186 Sb
0.0000 5.6186 1.4665 Sb
```

No. 14
Density functional theory data (PBEsol) for a relaxed structure of TiAsH2.

Values from the calculation:
- Volume: 83.7 Å³ per cell
- Density of states at the Fermi level: 2.06 states/eV/f.u.
- Total magnetization: 0.00 μB/f.u.
- Electronic total energy: -5.0531 eV per atom

```
TiAsH2
1.0
-1.8572 -0.7083 3.1454
-2.1446 -2.4390 -1.8155
5.9141 -2.8461 0.6503
As H Ti
2 4 2
Cartesian
0.8843 -3.4294 -0.2502 As
0.0000 0.0000 0.0000 As
2.4706 -3.4919 1.7727 H
-0.4864 -2.0689 1.4476 H
3.3992 -3.1378 0.2001 H
-1.5587 -3.2884 0.5398 H
1.0280 -2.5641 2.2303 Ti
-2.0009 -1.5737 0.6649 Ti
```

No. 15
Density functional theory data (PBEsol) for a relaxed structure of CdTcIr2.

Values from the calculation:
- Volume: 60.0 Å³ per cell
- Density of states at the Fermi level: 4.13 states/eV/f.u.
- Total magnetization: 0.00 μB/f.u.
- Calculated formation energy: 0.202 eV/atom
- Electronic total energy: -7.8255 eV per atom

```
CdTcIr2
1.0
-1.5402 1.7510 1.4215
-2.3884 -4.1261 -0.1289
2.6981 -0.8456 3.9651
Ir Cd Tc
2 1 1
Cartesian
-0.3273 -1.3240 3.8999 Ir
-0.9032 -1.8967 1.3578 Ir
-0.7701 0.8755 0.7107 Cd
1.3491 -0.4228 1.9825 Tc
```

No. 16
Density functional theory data (PBEsol) for a relaxed structure of Ba3MgTi.

Values from the calculation:
- Volume: 221.3 Å³ per cell
- Density of states at the Fermi level: 5.24 states/eV/f.u.
- Total magnetization: 1.07 μB/f.u.
- Calculated formation energy: 0.638 eV/atom
- Electronic total energy: -2.6594 eV per atom

```
Ba3MgTi
1.0
-1.9054 -4.0764 -4.0423
5.5977 -2.2644 -0.3550
-1.2740 -3.8527 4.4857
Ti Ba Mg
1 3 1
Cartesian
0.0000 0.0000 0.0000 Ti
-0.9527 -2.0382 -2.0211 Ba
-0.6370 -1.9263 2.2429 Ba
2.7989 -1.1322 -0.1775 Ba
1.2092 -5.0967 0.0442 Mg
```

No. 17
Density functional theory data (PBEsol) for a relaxed structure of MnAsPt.

Values from the calculation:
- Volume: 45.6 Å³ per cell
- Density of states at the Fermi level: 1.49 states/eV/f.u.
- Total magnetization: 3.62 μB/f.u.
- Calculated formation energy: -0.057 eV/atom
- Electronic total energy: -7.3340 eV per atom

```
MnAsPt
1.0
3.4731 0.0000 0.0000
0.0000 3.4731 0.0000
-1.7366 -1.7366 3.7768
As Mn Pt
1 1 1
Cartesian
1.7366 1.7366 3.7481 As
1.7366 1.7366 1.3294 Mn
0.0000 0.0000 2.4761 Pt
```

No. 18
Density functional theory data (PBEsol) for a relaxed structure of Cd2GaAu2.

Values from the calculation:
- Volume: 191.9 Å³ per cell
- Density of states at the Fermi level: 1.62 states/eV/f.u.
- Total magnetization: 0.00 μB/f.u.
- Calculated formation energy: -0.119 eV/atom
- Electronic total energy: -2.8349 eV per atom

```
Cd2GaAu2
1.0
4.1269 0.0000 0.0000
0.0000 6.8184 0.0000
0.0000 0.0000 6.8184
Cd Au Ga
4 4 2
Cartesian
2.0635 5.7605 2.3513 Cd
2.0635 1.0580 4.4672 Cd
2.0635 4.4672 5.7605 Cd
2.0635 2.3513 1.0580 Cd
0.0000 1.0225 2.3867 Au
0.0000 2.3867 5.7959 Au
0.0000 5.7959 4.4317 Au
0.0000 4.4317 1.0225 Au
0.0000 3.4092 3.4092 Ga
0.0000 0.0000 0.0000 Ga
```

No. 19
Density functional theory data (PBEsol) for a relaxed structure of Te3Pb.

Values from the calculation:
- Volume: 528.2 Å³ per cell
- Total magnetization: 0.00 μB/f.u.
- Energy relative to the elements, uncorrected: -1.88 kcal/mol of atoms
- Electronic total energy: -3.7257 eV per atom

```
Te3Pb
1.0
7.7377 0.0000 0.0000
0.0000 8.0213 0.0000
0.0000 0.0000 8.5100
Te Pb
12 4
Cartesian
0.5301 2.0053 6.5081 Te
1.7550 0.0146 0.9364 Te
5.6238 0.0146 3.3186 Te
5.6238 3.9960 3.3186 Te
5.9828 8.0066 7.5736 Te
4.3990 2.0053 6.2568 Te
1.7550 3.9960 0.9364 Te
2.1139 4.0253 5.1913 Te
3.3387 6.0160 2.2532 Te
2.1139 8.0066 5.1913 Te
5.9828 4.0253 7.5736 Te
7.2076 6.0160 2.0018 Te
7.3158 6.0160 5.2888 Pb
4.2908 2.0053 1.0338 Pb
0.4220 2.0053 3.2212 Pb
3.4469 6.0160 7.4762 Pb
```

No. 20
Density functional theory data (PBEsol) for a relaxed structure of YPO4.

Values from the calculation:
- Volume: 142.2 Å³ per cell
- Density of states at the Fermi level: 0.00 states/eV/f.u.
- Total magnetization: 0.00 μB/f.u.
- Energy relative to the elements, uncorrected: -71.07 kcal/mol of atoms
- Electronic total energy: -8.6837 eV per atom

```
YPO4
1.0
-0.4247 -5.1490 2.4502
-1.7017 0.3987 -5.4443
5.5693 1.2956 0.0096
P O Y
2 8 2
Cartesian
1.4022 -0.3404 -3.4659 P
0.0000 0.0000 0.0000 P
0.5973 -4.0864 1.9773 O
0.4159 -4.0474 -0.9659 O
3.8982 -3.9411 1.5454 O
3.1056 -2.9875 -1.5475 O
2.6485 -0.2526 -2.5516 O
0.5616 -1.4420 -0.0499 O
0.3802 -1.4030 -2.9930 O
3.4411 -1.2063 0.5413 O
-1.0632 -2.3751 -1.4971 Y
2.0407 -3.1142 0.4813 Y
```